[1]
Crystalline PmNd2Sm5Th at its relaxed geometry. Source: Alexandria via LeMat-Bulk, functional PBE.

Uncorrected energy (eV per atom): -4.8801
Density (kg/m³): 7556
DOS at the Fermi energy (states/eV/f.u.): 13.01
Crystal system: orthorhombic

Cell and atoms, written as POSCAR:
```
PmNd2Sm5Th
1.0
2.871 -10.239 0.000
2.871 10.239 0.000
0.000 0.000 10.597
Pm Nd Sm Th
2 4 10 2
Cartesian
2.871 8.390 5.298
2.871 -8.390 0.000
2.871 2.368 3.914
2.871 2.376 8.255
2.871 -2.376 2.957
2.871 -2.368 9.212
2.871 9.810 8.364
2.871 7.959 0.790
2.871 6.066 8.005
2.871 5.652 3.875
2.871 0.333 0.754
2.871 -0.333 6.052
2.871 -5.652 9.174
2.871 -6.066 2.706
2.871 -7.959 6.088
2.871 -9.810 3.066
2.871 4.092 0.663
2.871 -4.092 5.961
```

---

[2]
Crystalline PrTl2Ge at its relaxed geometry. Source: Alexandria via LeMat-Bulk, functional PBE.

Polymorph energy (0 for the lowest one) (meV/atom): 0
Density (kg/m³): 9833
DOS at the Fermi energy (states/eV/f.u.): 2.49
Crystal system: tetragonal

Cell and atoms, written as POSCAR:
```
PrTl2Ge
1.0
4.547 0.000 0.000
0.000 4.547 0.000
0.000 0.000 5.083
Pr Tl Ge
1 2 1
Cartesian
0.000 0.000 0.000
0.000 2.273 2.542
2.273 0.000 2.542
2.273 2.273 0.000
```

---

[3]
Crystalline Pb2SeO6 at its relaxed geometry. Source: Alexandria via LeMat-Bulk, functional PBE.

Density (kg/m³): 7846
ΔE_f (raw) (meV/atom): -675
Crystal system: tetragonal

Cell and atoms, written as POSCAR:
```
Pb2SeO6
1.0
4.967 0.000 0.000
0.000 4.967 0.000
0.000 0.000 10.111
Pb Se O
4 2 12
Cartesian
0.000 0.000 1.671
0.000 0.000 8.439
2.484 2.484 3.384
2.484 2.484 6.727
0.000 0.000 5.055
2.484 2.484 0.000
0.915 0.915 3.471
0.915 0.915 6.640
1.028 1.028 0.000
1.456 3.512 5.055
1.569 3.398 1.585
1.569 3.398 8.526
3.398 1.569 1.585
3.398 1.569 8.526
3.512 1.456 5.055
3.939 3.939 0.000
4.053 4.053 3.471
4.053 4.053 6.640
```

---

[4]
Crystalline TlAg2Ru at its relaxed geometry. Source: Alexandria via LeMat-Bulk, functional PBE.

Polymorph energy (0 for the lowest one) (meV/atom): 83
Density (kg/m³): 11687
DOS at the Fermi energy (states/eV/f.u.): 2.11
Crystal system: monoclinic

Cell and atoms, written as POSCAR:
```
TlAg2Ru
1.0
4.780 -1.494 0.000
4.780 1.494 0.000
-0.962 0.000 5.184
Tl Ag Ru
1 2 1
Cartesian
0.000 0.000 0.000
4.388 0.000 2.682
6.973 0.000 1.585
1.649 0.000 4.121
```

---

[5]
Crystalline BeVW at its relaxed geometry. Source: Alexandria via LeMat-Bulk, functional PBE.

Polymorph energy (0 for the lowest one) (meV/atom): 53
Density (kg/m³): 10164
DOS at the Fermi energy (states/eV/f.u.): 2.55
Crystal system: trigonal

Cell and atoms, written as POSCAR:
```
BeVW
1.0
4.250 0.000 0.000
-2.125 3.680 0.000
0.000 0.000 2.546
Be V W
1 1 1
Cartesian
0.000 0.000 0.000
2.125 1.227 1.721
0.000 2.454 0.851
```

---

[6]
Crystalline KTcP2Pb at its relaxed geometry. Source: Alexandria via LeMat-Bulk, functional PBE.

Uncorrected energy (eV per atom): -3.9214
Density (kg/m³): 4310
DOS at the Fermi energy (states/eV/f.u.): 4.11
Crystal system: tetragonal

Cell and atoms, written as POSCAR:
```
KTcP2Pb
1.0
5.423 0.000 0.000
0.000 5.423 0.000
0.000 0.000 5.322
K Tc P Pb
1 1 2 1
Cartesian
0.000 0.000 0.000
2.712 2.712 0.000
0.000 2.712 2.661
2.712 0.000 2.661
2.712 2.712 2.661
```

---

[7]
Crystalline MnCoSeN2 at its relaxed geometry. Source: Alexandria via LeMat-Bulk, functional PBE.

Polymorph energy (0 for the lowest one) (meV/atom): 142
Density (kg/m³): 4173
ΔE_f (raw) (meV/atom): 856
DOS at the Fermi energy (states/eV/f.u.): 2.50
Crystal system: tetragonal

Cell and atoms, written as POSCAR:
```
MnCoSeN2
1.0
3.517 0.000 0.000
0.000 3.517 0.000
0.000 0.000 7.106
Mn Co Se N
1 1 1 2
Cartesian
0.000 0.000 0.000
1.758 1.758 3.553
1.758 1.758 0.000
0.000 1.758 3.553
1.758 0.000 3.553
```

---

[8]
Crystalline Ca3OsS at its relaxed geometry. Source: Alexandria via LeMat-Bulk, functional PBE.

Polymorph energy (0 for the lowest one) (meV/atom): 0
Density (kg/m³): 4089
ΔE_f (raw) (meV/atom): -6
DOS at the Fermi energy (states/eV/f.u.): 2.16
Crystal system: cubic

Cell and atoms, written as POSCAR:
```
Ca3OsS
1.0
5.182 0.000 0.000
0.000 5.182 0.000
0.000 0.000 5.182
Ca Os S
3 1 1
Cartesian
0.000 0.000 2.591
0.000 2.591 0.000
2.591 0.000 0.000
2.591 2.591 2.591
0.000 0.000 0.000
```

---

[9]
Crystalline CaCePt2O8 at its relaxed geometry. Source: Alexandria via LeMat-Bulk, functional PBE.

Density (kg/m³): 8126
ΔE_f (raw) (meV/atom): -1261
DOS at the Fermi energy (states/eV/f.u.): 8.20
Crystal system: tetragonal

Cell and atoms, written as POSCAR:
```
CaCePt2O8
1.0
-2.632 2.632 5.149
2.632 -2.632 5.149
2.632 2.632 -5.149
Ca Ce Pt O
1 1 2 8
Cartesian
0.000 0.000 0.000
2.632 0.000 2.575
0.000 0.000 5.149
0.000 2.632 2.575
1.459 1.325 -1.298
3.806 1.325 -1.298
1.325 1.459 1.298
1.308 -1.174 6.447
-1.174 1.308 3.851
1.174 1.308 3.851
1.325 3.806 1.298
1.308 1.174 6.447
```

---

[10]
Crystalline Th3Fe2Ni9 at its relaxed geometry. Source: Alexandria via LeMat-Bulk, functional PBE.

Uncorrected energy (eV per atom): -6.7891
Density (kg/m³): 10268
DOS at the Fermi energy (states/eV/f.u.): 14.07
Crystal system: orthorhombic

Cell and atoms, written as POSCAR:
```
Th3Fe2Ni9
1.0
-2.012 4.477 5.996
2.012 -4.477 5.996
2.012 4.477 -5.996
Th Fe Ni
3 2 9
Cartesian
0.000 0.000 0.000
0.000 0.000 3.664
0.000 0.000 8.329
2.012 2.633 0.000
0.000 1.844 5.996
2.012 -1.289 2.074
2.012 -1.991 4.613
2.012 1.289 2.074
0.000 2.486 1.384
0.000 4.477 0.000
2.012 1.991 4.613
0.000 3.188 3.922
0.000 6.468 1.384
0.000 5.766 3.922
```

---

[11]
Crystalline ThZrAs2 at its relaxed geometry. Source: Alexandria via LeMat-Bulk, functional PBE.

Polymorph energy (0 for the lowest one) (meV/atom): 0
Density (kg/m³): 8291
DOS at the Fermi energy (states/eV/f.u.): 2.48
Crystal system: trigonal

Cell and atoms, written as POSCAR:
```
ThZrAs2
1.0
2.041 1.178 6.567
-2.041 1.178 6.567
0.000 -2.357 6.567
Th Zr As
1 1 2
Cartesian
0.000 0.000 0.000
0.000 0.000 9.851
0.000 0.000 4.771
0.000 0.000 14.930
```

---

[12]
Crystalline MgZr2F at its relaxed geometry. Source: Alexandria via LeMat-Bulk, functional PBE.

Polymorph energy (0 for the lowest one) (meV/atom): 171
Density (kg/m³): 4745
ΔE_f (raw) (meV/atom): -100
DOS at the Fermi energy (states/eV/f.u.): 6.73
Crystal system: cubic

Cell and atoms, written as POSCAR:
```
MgZr2F
1.0
0.000 3.406 3.406
3.406 0.000 3.406
3.406 3.406 0.000
Mg Zr F
1 2 1
Cartesian
0.000 0.000 0.000
1.703 1.703 1.703
5.108 5.108 5.108
3.406 3.406 3.406
```

---

[13]
Crystalline LiAc2ScPd6 at its relaxed geometry. Source: Alexandria via LeMat-Bulk, functional PBE.

Uncorrected energy (eV per atom): -5.3460
Density (kg/m³): 8856
DOS at the Fermi energy (states/eV/f.u.): 2.99
Crystal system: monoclinic

Cell and atoms, written as POSCAR:
```
LiAc2ScPd6
1.0
5.331 -3.109 0.000
5.331 3.109 0.000
-3.464 0.000 6.472
Li Ac Sc Pd
1 2 1 6
Cartesian
0.000 0.000 0.000
0.053 0.000 4.626
7.146 0.000 1.846
3.599 0.000 3.236
1.886 0.000 1.286
4.410 1.447 1.256
2.789 1.447 5.217
4.410 -1.447 1.256
2.789 -1.447 5.217
5.313 0.000 5.186
```

---

[14]
Crystalline Tb2DyNi2 at its relaxed geometry. Source: Alexandria via LeMat-Bulk, functional PBE.

Polymorph energy (0 for the lowest one) (meV/atom): 94
Density (kg/m³): 8535
DOS at the Fermi energy (states/eV/f.u.): 5.59
Crystal system: monoclinic

Cell and atoms, written as POSCAR:
```
Tb2DyNi2
1.0
5.620 -1.922 0.000
5.620 1.922 0.000
-1.564 0.000 5.384
Tb Dy Ni
2 1 2
Cartesian
1.560 0.000 0.590
8.116 0.000 4.794
4.838 0.000 2.692
1.271 0.000 3.353
8.405 0.000 2.031
```

---

[15]
Crystalline Li4Hf3ScS8 at its relaxed geometry. Source: Alexandria via LeMat-Bulk, functional PBE.

Density (kg/m³): 5137
ΔE_f (raw) (meV/atom): -1570
DOS at the Fermi energy (states/eV/f.u.): 5.79
Crystal system: trigonal

Cell and atoms, written as POSCAR:
```
Li4Hf3ScS8
1.0
3.606 2.082 6.205
-3.606 2.082 6.205
0.000 -4.164 6.205
Li Hf Sc S
4 3 1 8
Cartesian
0.000 0.000 0.000
-1.803 -1.041 6.205
-1.803 1.041 12.411
0.000 2.082 6.205
-3.606 0.000 9.308
-1.803 1.041 3.103
1.803 1.041 3.103
0.000 0.000 9.308
-1.813 -1.047 10.837
0.000 0.000 4.639
0.000 -2.094 7.779
-1.813 1.047 7.779
1.813 -1.047 10.837
0.000 2.094 10.837
0.000 0.000 13.978
1.813 1.047 7.779
```

---

[16]
Crystalline CsCd2RuPb at its relaxed geometry. Source: Alexandria via LeMat-Bulk, functional PBE.

Uncorrected energy (eV per atom): -3.0638
Density (kg/m³): 7098
DOS at the Fermi energy (states/eV/f.u.): 2.08
Crystal system: tetragonal

Cell and atoms, written as POSCAR:
```
CsCd2RuPb
1.0
5.454 0.000 0.000
0.000 5.454 0.000
0.000 0.000 5.237
Cs Cd Ru Pb
1 2 1 1
Cartesian
0.000 0.000 0.000
0.000 2.727 2.618
2.727 0.000 2.618
2.727 2.727 2.618
2.727 2.727 0.000
```

---

[17]
Crystalline CsLaCuO3 at its relaxed geometry. Source: Alexandria via LeMat-Bulk, functional PBE.

Density (kg/m³): 4723
ΔE_f (raw) (meV/atom): -1933
DOS at the Fermi energy (states/eV/f.u.): 1.03
Crystal system: monoclinic

Cell and atoms, written as POSCAR:
```
CsLaCuO3
1.0
8.109 0.000 0.000
0.000 3.900 0.000
-3.195 0.000 8.524
Cs La Cu O
2 2 2 6
Cartesian
0.965 0.975 1.710
3.949 2.925 6.814
-0.064 2.925 7.279
4.978 0.975 1.245
-1.622 0.975 5.307
6.536 2.925 3.218
-1.486 2.925 5.137
-1.597 0.975 7.230
3.439 2.925 1.053
1.475 0.975 7.472
6.511 2.925 1.294
6.400 0.975 3.388
```

---

[18]
Crystalline Sb2TeOsC at its relaxed geometry. Source: Alexandria via LeMat-Bulk, functional PBE.

Polymorph energy (0 for the lowest one) (meV/atom): 481
Density (kg/m³): 6744
ΔE_f (raw) (meV/atom): 1894
DOS at the Fermi energy (states/eV/f.u.): 3.31
Crystal system: tetragonal

Cell and atoms, written as POSCAR:
```
Sb2TeOsC
1.0
5.025 0.000 0.000
0.000 5.025 0.000
0.000 0.000 5.591
Sb Te Os C
2 1 1 1
Cartesian
0.000 2.513 0.000
2.513 0.000 0.000
0.000 0.000 2.795
0.000 0.000 0.000
2.513 2.513 2.795
```

---

[19]
Crystalline ZrAsPd6 at its relaxed geometry. Source: Alexandria via LeMat-Bulk, functional PBE.

Uncorrected energy (eV per atom): -5.8912
Density (kg/m³): 9455
DOS at the Fermi energy (states/eV/f.u.): 4.97
Crystal system: orthorhombic

Cell and atoms, written as POSCAR:
```
ZrAsPd6
1.0
2.241 -4.021 0.000
2.241 4.021 0.000
0.000 0.000 7.841
Zr As Pd
1 1 6
Cartesian
0.000 0.000 0.000
2.241 0.000 3.920
0.000 0.000 2.590
0.000 0.000 5.251
2.241 1.319 1.445
2.241 1.319 6.396
2.241 -1.319 1.445
2.241 -1.319 6.396
```

---

[20]
Crystalline NpPaSnPt at its relaxed geometry. Source: Alexandria via LeMat-Bulk, functional PBE.

Uncorrected energy (eV per atom): -8.2586
Density (kg/m³): 14576
DOS at the Fermi energy (states/eV/f.u.): 9.59
Crystal system: cubic

Cell and atoms, written as POSCAR:
```
NpPaSnPt
1.0
0.000 3.545 3.545
3.545 0.000 3.545
3.545 3.545 0.000
Np Pa Sn Pt
1 1 1 1
Cartesian
0.000 0.000 0.000
5.317 5.317 5.317
1.772 1.772 1.772
3.545 3.545 3.545
```